Below is a relaxed structure of LiHfCdHg, with properties calculated at the PBE level.

abc: 6.8188 6.8188 6.8188
angles: 90.00 90.00 90.00
With the nearest neighbours (Å) after each atom.
Space group F-43m (No. 216)
Asymmetric unit:
Li 0.0000 0.0000 0.0000 [4 per cell]  4 Cd 2.95, 4 Hg 2.95
Hf 0.0000 0.0000 0.5000 [4 per cell]  4 Hg 2.95, 4 Cd 2.95
Cd 0.2500 0.2500 0.7500 [4 per cell]  4 Hf 2.95, 4 Li 2.95
Hg 0.2500 0.2500 0.2500 [4 per cell]  4 Li 2.95, 4 Hf 2.95

Values from the calculation:
**Spin magnetization**: 0.00 μB/cell
**Formation energy from the elements**: -0.0726 eV per atom
**DOS(E_F)**: 8.7 states/eV/cell